An optimized crystal structure of ScBiS2N. Source: Alexandria, functional PBE-GGA.

Properties
The value obtained for the uncorrected formation energy is 499 meV/atom. For the electronic total energy, the calculation gives -4.860 eV per atom. As for the total moment: 0.041 μB/cell.

Lattice parameters (Å, degrees): 5.183 5.183 4.212 90.00 90.00 90.00
Sites, in units of the cell vectors:
Sc (0.000, 0.000, 0.000)
Bi (0.500, 0.500, 0.500)
S (0.000, 0.500, 0.500)
S (0.500, 0.000, 0.500)
N (0.500, 0.500, 0.000)